The following is a PBE calculation of a geometry-optimized NaMg3Hg2 structure, from Alexandria via LeMat-Bulk.

a = 16.198 Å, b = 4.688 Å, c = 8.050 Å
α = 90.00°, β = 105.75°, γ = 90.00°
Space group C2/m (No. 12)
Unique sites:
Na1 0.121 0.000 0.156
Mg1 0.057 0.000 0.679
Mg2 0.156 0.500 0.502
Mg3 0.183 0.500 0.904
Hg1 0.004 0.500 0.196
Hg2 0.236 0.000 0.728

Properties
**ΔH_f (0 K)**: -0.132 eV/atom
**Excess energy over the best structure of this formula in the dataset**: 57 meV/atom
**Raw total energy**: -30.0 eV for the cell shown

=====

The following is a PBE calculation of a geometry-optimized ZrVCr structure, from Alexandria via LeMat-Bulk.

a = 4.570 Å, b = 3.153 Å, c = 13.291 Å
α = 90.00°, β = 90.00°, γ = 90.00°
Space group Amm2 (No. 38)
Unique sites:
Zr1 0.000 0.000 0.000
Zr2 0.500 0.000 0.167
V1 0.000 0.000 0.702
V2 0.500 0.000 0.844
Cr1 0.000 0.000 0.332
Cr2 0.500 0.000 0.479

Properties
**ΔH_f (0 K)**: 0.127 eV/atom
**Excess energy over the best structure of this formula in the dataset**: 154 meV/atom
**Raw total energy**: -107.6 eV for the cell shown

=====

The following is a PBE calculation of a geometry-optimized Pr2Nd6Sm3Mg structure, from Alexandria via LeMat-Bulk.

a = 6.306 Å, b = 10.929 Å, c = 12.044 Å
α = 90.00°, β = 100.13°, γ = 90.00°
Space group C2/m (No. 12)
Unique sites:
Pr1 0.000 0.167 0.000
Nd1 0.247 0.500 0.749
Nd2 0.248 0.335 0.250
Sm1 0.000 0.000 0.500
Sm2 0.000 0.334 0.500
Mg1 0.000 0.500 0.000

Properties
**ΔH_f (0 K)**: 0.011 eV/atom
**Raw total energy**: -107.6 eV for the cell shown

=====

The following is a PBE calculation of a geometry-optimized Pm2NdIn2 structure, from Alexandria via LeMat-Bulk.

a = 4.511 Å, b = 26.082 Å, c = 5.033 Å
α = 90.00°, β = 90.00°, γ = 90.00°
Space group Cmcm (No. 63)
Unique sites:
Pm1 0.000 0.049 0.250
Pm2 0.000 0.239 0.250
Nd1 0.000 0.144 0.750
In1 0.000 0.351 0.750
In2 0.000 0.454 0.250

Properties
**ΔH_f (0 K)**: -0.389 eV/atom
**Excess energy over the best structure of this formula in the dataset**: 0 meV/atom
**Raw total energy**: -86.8 eV for the cell shown